No. 1
Rb2In2Fe | PBE | relaxed

Output
- calculated density (g/cm³) = 4.3
- E (eV per cell) = -27.842
- total moment (μB per cell) = 3.940
- energy of formation from the pure elements (meV/atom) = 391
- symmetry = P4/mbm (127)

The structure in CIF format:
```
data_Rb2In2Fe
_chemical_formula_sum 'Rb4 In4 Fe2'
_cell_length_a 7.3364
_cell_length_b 7.3364
_cell_length_c 6.5316
_cell_angle_alpha 90.00
_cell_angle_beta 90.00
_cell_angle_gamma 90.00
_space_group_name_H-M_alt 'P 1'
_space_group_IT_number 1
loop_
_space_group_symop_operation_xyz
'x,y,z'
loop_
_atom_site_label
_atom_site_fract_x
_atom_site_fract_y
_atom_site_fract_z
Rb1 0.1692 0.3308 0.0000
Rb2 0.3308 0.8308 0.0000
Rb3 0.6692 0.1692 0.0000
Rb4 0.8308 0.6692 0.0000
In1 0.1932 0.6932 0.5000
In2 0.3068 0.1932 0.5000
In3 0.6932 0.8068 0.5000
In4 0.8068 0.3068 0.5000
Fe1 0.0000 0.0000 0.5000
Fe2 0.5000 0.5000 0.5000
```

=====

No. 2
NdDyAlHg | PBE | relaxed

Output
- calculated density (g/cm³) = 8.6
- E (eV per cell) = -15.136
- ΔE to the lowest computed polymorph (eV/atom) = 0.0000
- total moment (μB per cell) = 0.000
- energy of formation from the pure elements (meV/atom) = -430
- symmetry = P4mm (99)

The structure in CIF format:
```
data_NdDyAlHg
_chemical_formula_sum 'Nd1 Dy1 Al1 Hg1'
_cell_length_a 3.5962
_cell_length_b 3.5962
_cell_length_c 7.9494
_cell_angle_alpha 90.00
_cell_angle_beta 90.00
_cell_angle_gamma 90.00
_space_group_name_H-M_alt 'P 1'
_space_group_IT_number 1
loop_
_space_group_symop_operation_xyz
'x,y,z'
loop_
_atom_site_label
_atom_site_fract_x
_atom_site_fract_y
_atom_site_fract_z
Nd1 0.0000 0.0000 0.0000
Dy1 0.0000 0.0000 0.5218
Al1 0.5000 0.5000 0.7532
Hg1 0.5000 0.5000 0.2801
```

=====

No. 3
LaInP | PBE | relaxed

Output
- calculated density (g/cm³) = 5.2
- E (eV per cell) = -13.734
- total moment (μB per cell) = 0.000
- energy of formation from the pure elements (meV/atom) = -219
- symmetry = F-43m (216)

The structure in CIF format:
```
data_LaInP
_chemical_formula_sum 'La1 In1 P1'
_cell_length_a 5.0398
_cell_length_b 5.0398
_cell_length_c 5.0398
_cell_angle_alpha 60.00
_cell_angle_beta 60.00
_cell_angle_gamma 60.00
_space_group_name_H-M_alt 'P 1'
_space_group_IT_number 1
loop_
_space_group_symop_operation_xyz
'x,y,z'
loop_
_atom_site_label
_atom_site_fract_x
_atom_site_fract_y
_atom_site_fract_z
La1 0.0000 0.0000 0.0000
In1 0.2500 0.2500 0.2500
P1 0.7500 0.7500 0.7500
```

=====

No. 4
Sr4Tl3Pd | PBE | relaxed

Output
- calculated density (g/cm³) = 6.9
- E (eV per cell) = -22.501
- total moment (μB per cell) = 0.000
- energy of formation from the pure elements (meV/atom) = -435
- symmetry = P4/mmm (123)

The structure in CIF format:
```
data_Sr4Tl3Pd
_chemical_formula_sum 'Sr4 Tl3 Pd1'
_cell_length_a 3.9690
_cell_length_b 3.9690
_cell_length_c 16.4032
_cell_angle_alpha 90.00
_cell_angle_beta 90.00
_cell_angle_gamma 90.00
_space_group_name_H-M_alt 'P 1'
_space_group_IT_number 1
loop_
_space_group_symop_operation_xyz
'x,y,z'
loop_
_atom_site_label
_atom_site_fract_x
_atom_site_fract_y
_atom_site_fract_z
Sr1 0.0000 0.0000 0.1088
Sr2 0.0000 0.0000 0.3707
Sr3 0.0000 0.0000 0.6293
Sr4 0.0000 0.0000 0.8912
Tl1 0.5000 0.5000 0.2424
Tl2 0.5000 0.5000 0.5000
Tl3 0.5000 0.5000 0.7576
Pd1 0.5000 0.5000 0.0000
```